[1]
This record from Alexandria describes a relaxed structure of CaNd2PaBi4. The functional is PBE-GGA.

a = 7.9070 Å, b = 4.5681 Å, c = 7.9177 Å
α = 90.00°, β = 109.06°, γ = 90.00°
Last column: nearest neighbours and their distance in Å.
Space group P2/m (No. 10)
Symmetry-distinct sites (fractional):
Ca 0.0000 0.0000 0.0000  6 Bi 3.21-3.23
Nd 0.0000 0.5000 0.5000  6 Bi 3.29-3.30
Nd 0.5000 0.0000 0.5000  6 Bi 3.23-3.25
Pa 0.5000 0.5000 0.0000  6 Bi 3.14-3.19
Bi 0.2550 0.5000 0.2429  1 Pa 3.14, 2 Ca 3.23, 3 Nd 3.25-3.30
Bi 0.2565 0.0000 0.7580  2 Pa 3.19, 1 Ca 3.21, 3 Nd 3.23-3.29

Properties
Formation energy in eV/atom: -0.697

[2]
This record from Alexandria describes a relaxed structure of Ta2AsBrF. The functional is PBE-GGA.

a = 4.7378 Å, b = 4.7378 Å, c = 5.1582 Å
α = 90.00°, β = 90.00°, γ = 90.00°
Last column: nearest neighbours and their distance in Å.
Space group P4/mmm (No. 123)
Symmetry-distinct sites (fractional):
Ta 0.0000 0.5000 0.0000  2 Br 2.37
As 0.0000 0.0000 0.5000  2 Br 2.58
Br 0.0000 0.0000 0.0000  4 Ta 2.37, 2 As 2.58
F 0.5000 0.5000 0.5000  4 As 3.35, 8 Ta 3.50

Properties
Offset from the most stable computed form in meV per atom: 895.8

[3]
This record from Alexandria describes a relaxed structure of Pa4ReGe. The functional is PBE-GGA.

a = 6.3304 Å, b = 7.0613 Å, c = 7.0616 Å
α = 90.00°, β = 90.00°, γ = 90.00°
Last column: nearest neighbours and their distance in Å.
Space group Pnc2 (No. 30)
Symmetry-distinct sites (fractional):
Pa 0.2126 0.1944 0.0000  1 Re 2.66, 2 Ge 2.89, 1 Pa 2.94
Pa 0.2193 0.6984 0.1072  1 Re 2.66, 2 Ge 2.90, 1 Pa 2.94
Re 0.5000 0.0000 0.8054  4 Pa 2.66
Ge 0.0000 0.0000 0.3062  8 Pa 2.89-2.90

Properties
Formation energy in eV/atom: 0.181
Offset from the most stable computed form in meV per atom: 409.3

[4]
This record from Alexandria describes a relaxed structure of CdH2OsAu. The functional is PBE-GGA.

a = 3.7145 Å, b = 3.7145 Å, c = 6.1355 Å
α = 90.00°, β = 90.00°, γ = 90.00°
Last column: nearest neighbours and their distance in Å.
Space group P4/mmm (No. 123)
Symmetry-distinct sites (fractional):
Cd 0.0000 0.0000 0.0000  4 H 1.86
H 0.0000 0.5000 0.0000  2 Cd 1.86
Os 0.5000 0.5000 0.5000  4 Au 2.63
Au 0.0000 0.0000 0.5000  4 Os 2.63

Properties
E_tot in eV per cell: -16.325

[5]
This record from Alexandria describes a relaxed structure of BeFeHg3. The functional is PBE-GGA.

a = 4.6974 Å, b = 4.6974 Å, c = 4.6974 Å
α = 90.00°, β = 90.00°, γ = 90.00°
Last column: nearest neighbours and their distance in Å.
Space group Pm-3m (No. 221)
Symmetry-distinct sites (fractional):
Be 0.0000 0.0000 0.0000  6 Hg 2.35
Fe 0.5000 0.5000 0.5000  12 Hg 3.32
Hg 0.0000 0.0000 0.5000  2 Be 2.35

Properties
Formation energy in eV/atom: 0.734
Offset from the most stable computed form in meV per atom: 0.0

[6]
This record from Alexandria describes a relaxed structure of KTcPt2. The functional is PBE-GGA.

a = 9.4058 Å, b = 2.7812 Å, c = 6.4955 Å
α = 90.00°, β = 97.47°, γ = 90.00°
Last column: nearest neighbours and their distance in Å.
Space group Cm (No. 8)
Symmetry-distinct sites (fractional):
K 0.0000 0.0000 0.0000  2 K 2.78, 1 Pt 3.10
Tc 0.2750 0.5000 0.3775  5 Pt 2.59-2.70, 2 Tc 2.78
Pt 0.0061 0.5000 0.4795  3 Tc 2.59-2.70, 4 Pt 2.78-2.79
Pt 0.2333 0.0000 0.7033  2 Tc 2.60, 4 Pt 2.78-2.79

Properties
Formation energy in eV/atom: 0.361
Offset from the most stable computed form in meV per atom: 278.8

[7]
This record from Alexandria describes a relaxed structure of BaTiSn. The functional is PBE-GGA.

a = 3.9039 Å, b = 4.1528 Å, c = 6.1218 Å
α = 90.00°, β = 90.00°, γ = 90.00°
Last column: nearest neighbours and their distance in Å.
Space group Pmmm (No. 47)
Symmetry-distinct sites (fractional):
Ba 0.0000 0.0000 0.0000  4 Sn 3.63, 4 Ti 3.70, 2 Ba 3.90
Ti 0.0000 0.5000 0.5000  4 Sn 2.85
Sn 0.5000 0.0000 0.5000  4 Ti 2.85

Properties
Formation energy in eV/atom: -0.004
Offset from the most stable computed form in meV per atom: 299.9

[8]
This record from Alexandria describes a relaxed structure of BaBiPt3. The functional is PBE-GGA.

a = 5.2143 Å, b = 5.2143 Å, c = 5.2143 Å
α = 90.00°, β = 90.00°, γ = 90.00°
Last column: nearest neighbours and their distance in Å.
Space group Pm-3m (No. 221)
Symmetry-distinct sites (fractional):
Ba 0.0000 0.0000 0.0000  12 Pt 3.69
Bi 0.5000 0.5000 0.5000  6 Pt 2.61
Pt 0.0000 0.5000 0.5000  2 Bi 2.61

Properties
Formation energy in eV/atom: 0.007
Offset from the most stable computed form in meV per atom: 0.0

[9]
This record from Alexandria describes a relaxed structure of Sm2ErSb3. The functional is PBE-GGA.

a = 4.4332 Å, b = 6.2691 Å, c = 13.2934 Å
α = 90.00°, β = 90.00°, γ = 90.00°
Last column: nearest neighbours and their distance in Å.
Space group Immm (No. 71)
Symmetry-distinct sites (fractional):
Sm 0.0000 0.0000 0.1679  6 Sb 3.14-3.16
Er 0.0000 0.0000 0.5000  6 Sb 3.09-3.13
Sb 0.0000 0.5000 0.1624  2 Er 3.09, 4 Sm 3.14-3.16
Sb 0.0000 0.5000 0.5000  2 Er 3.13, 4 Sm 3.15

Properties
E_tot in eV per cell: -66.472

[10]
This record from Alexandria describes a relaxed structure of Pu5Tc2Ru2. The functional is PBE-GGA.

a = 15.3964 Å, b = 6.2970 Å, c = 7.6780 Å
α = 90.00°, β = 90.00°, γ = 90.00°
Last column: nearest neighbours and their distance in Å.
Space group Cmce (No. 64)
Symmetry-distinct sites (fractional):
Pu 0.0000 0.0000 0.0000  2 Tc 2.51
Pu 0.1421 0.1869 0.3134  2 Ru 2.60-2.86, 1 Tc 2.79
Tc 0.0000 0.1387 0.6393  3 Pu 2.51-2.79, 1 Tc 2.76
Ru 0.2392 0.0000 0.0000  4 Pu 2.60-2.86

Properties
Formation energy in eV/atom: 0.048

[11]
This record from Alexandria describes a relaxed structure of Eu2BiSb. The functional is PBE-GGA.

a = 7.9938 Å, b = 7.9938 Å, c = 7.9938 Å
α = 90.00°, β = 90.00°, γ = 90.00°
Last column: nearest neighbours and their distance in Å.
Space group Fm-3m (No. 225)
Symmetry-distinct sites (fractional):
Eu 0.2500 0.2500 0.2500  4 Bi 3.46, 4 Sb 3.46
Bi 0.0000 0.0000 0.0000  8 Eu 3.46
Sb 0.0000 0.0000 0.5000  8 Eu 3.46

Properties
Offset from the most stable computed form in meV per atom: 37.3

[12]
This record from Alexandria describes a relaxed structure of Na2DyTh2Te6. The functional is PBE-GGA.

a = 7.6639 Å, b = 13.2738 Å, c = 8.1055 Å
α = 90.00°, β = 108.53°, γ = 90.00°
Last column: nearest neighbours and their distance in Å.
Space group C2/m (No. 12)
Symmetry-distinct sites (fractional):
Na 0.0000 0.1682 0.0000  6 Te 3.25-3.27
Dy 0.0000 0.0000 0.5000  6 Te 3.11-3.12
Th 0.0000 0.3329 0.5000  6 Te 3.15-3.17
Te 0.2459 0.1632 0.7388  1 Dy 3.11, 2 Th 3.15-3.17, 2 Na 3.25-3.27
Te 0.2503 0.0000 0.2624  1 Dy 3.12, 2 Th 3.15, 2 Na 3.25

Properties
E_tot in eV per cell: -108.140